An optimized crystal structure of Rb2PtSe2, computed with PBE.

Values from the calculation:
density of states at the Fermi level: 2.1 states/eV/cell
total energy: -35.6 eV for the cell shown
space-group type: P4/mbm
formation energy (no corrections): -2.86 eV/f.u.
magnetic moment: 0.000 μB per atom

abc: 7.067 7.067 5.532
angles: 90.00 90.00 90.00
Fractional positions:
1 Se 0.165 0.335 0.000
2 Se 0.665 0.165 0.000
3 Se 0.835 0.665 0.000
4 Se 0.335 0.835 0.000
5 Rb 0.337 0.163 0.500
6 Rb 0.837 0.337 0.500
7 Rb 0.663 0.837 0.500
8 Rb 0.163 0.663 0.500
9 Pt 0.000 0.000 0.000
10 Pt 0.500 0.500 0.000

An optimized crystal structure of RbTi2PtSe, computed with PBE.

Values from the calculation:
density of states at the Fermi level: 7.7 states/eV/cell
total energy: -16.1 eV for the cell shown
space-group type: P4/mmm
formation energy (no corrections): 10.20 eV/f.u.
magnetic moment: 0.865 μB per atom

abc: 5.094 4.977 5.094
angles: 90.00 90.00 90.00
Fractional positions:
1 Se 0.500 0.500 0.500
2 Pt 0.000 0.500 0.000
3 Ti 0.500 0.000 0.000
4 Ti 0.000 0.000 0.500
5 Rb 0.000 0.000 0.000